1.
! SrPmSnAu, optimized geometry, DFT PBE; values from VASP
! **Space group**: No. 216
! **Energy**: -4.123 eV/atom
! **ΔH_f (0 K)**: -0.695 eV per atom
&SYSTEM
  ibrav = 0, nat = 4, ntyp = 4
/
ATOMIC_SPECIES
Sn 118.71 Sn.upf
Pm 145.00 Pm.upf
Au 196.97 Au.upf
Sr 87.62 Sr.upf
ATOMIC_POSITIONS angstrom
Sn 2.731 1.577 1.115
Pm 0.000 0.000 0.000
Au 8.192 4.730 3.344
Sr 5.461 3.153 2.230
CELL_PARAMETERS angstrom
5.461 0.000 0.000
2.731 4.730 0.000
2.731 1.577 4.459

2.
! PmTiSnAu, optimized geometry, DFT PBE; values from VASP
! **Space group**: No. 216
! **Energy**: -5.387 eV/atom
! **ΔH_f (0 K)**: -0.406 eV per atom
&SYSTEM
  ibrav = 0, nat = 4, ntyp = 4
/
ATOMIC_SPECIES
Sn 118.71 Sn.upf
Ti 47.87 Ti.upf
Au 196.97 Au.upf
Pm 145.00 Pm.upf
ATOMIC_POSITIONS angstrom
Sn 0.000 0.000 0.000
Ti -1.466 -1.700 -2.150
Au -2.931 -3.401 -4.300
Pm -4.397 -5.101 -6.450
CELL_PARAMETERS angstrom
-1.315 -0.252 -4.896
-0.105 -4.486 -2.372
-4.442 -2.063 -1.332

3.
! PmTlSnAu, optimized geometry, DFT PBE; values from VASP
! **Space group**: No. 216
! **Energy**: -3.969 eV/atom
! **ΔH_f (0 K)**: -0.370 eV per atom
&SYSTEM
  ibrav = 0, nat = 4, ntyp = 4
/
ATOMIC_SPECIES
Sn 118.71 Sn.upf
Pm 145.00 Pm.upf
Au 196.97 Au.upf
Tl 204.38 Tl.upf
ATOMIC_POSITIONS angstrom
Sn 2.621 1.513 1.070
Pm 7.864 4.540 3.211
Au 5.243 3.027 2.140
Tl 0.000 0.000 0.000
CELL_PARAMETERS angstrom
5.243 0.000 0.000
2.621 4.540 0.000
2.621 1.513 4.281

4.
! PmTmSnAu, optimized geometry, DFT PBE; values from VASP
! **Space group**: No. 216
! **Energy**: -4.822 eV/atom
! **ΔH_f (0 K)**: -0.697 eV per atom
&SYSTEM
  ibrav = 0, nat = 4, ntyp = 4
/
ATOMIC_SPECIES
Pm 145.00 Pm.upf
Tm 168.93 Tm.upf
Sn 118.71 Sn.upf
Au 196.97 Au.upf
ATOMIC_POSITIONS angstrom
Pm 0.000 0.000 0.000
Tm 5.255 3.034 2.145
Sn 2.628 1.517 1.073
Au 7.883 4.551 3.218
CELL_PARAMETERS angstrom
5.255 0.000 0.000
2.628 4.551 0.000
2.628 1.517 4.291

5.
! PmZnSnAu, optimized geometry, DFT PBE; values from VASP
! **Space group**: No. 216
! **Energy**: -3.834 eV/atom
! **ΔH_f (0 K)**: -0.508 eV per atom
&SYSTEM
  ibrav = 0, nat = 4, ntyp = 4
/
ATOMIC_SPECIES
Pm 145.00 Pm.upf
Sn 118.71 Sn.upf
Zn 65.41 Zn.upf
Au 196.97 Au.upf
ATOMIC_POSITIONS angstrom
Pm -8.072 -4.005 -1.992
Sn -2.691 -1.335 -0.664
Zn -5.381 -2.670 -1.328
Au 0.000 0.000 0.000
CELL_PARAMETERS angstrom
-4.948 0.742 -0.441
-2.603 -2.450 -3.530
-3.211 -3.632 1.314

6.
! Pm2Zn4SnAu3, optimized geometry, DFT PBE; values from VASP
! **Space group**: No. 115
! **Energy**: -3.339 eV/atom
! **ΔH_f (0 K)**: -0.496 eV per atom
&SYSTEM
  ibrav = 0, nat = 10, ntyp = 4
/
ATOMIC_SPECIES
Sn 118.71 Sn.upf
Zn 65.41 Zn.upf
Au 196.97 Au.upf
Pm 145.00 Pm.upf
ATOMIC_POSITIONS angstrom
Sn -0.674 -5.624 -3.109
Zn -2.353 -7.117 -1.606
Zn 0.000 0.000 0.000
Au -0.650 -5.672 -0.084
Au 1.315 -1.687 -1.549
Zn 1.029 -4.179 -1.586
Au -2.639 -9.609 -1.643
Zn -0.023 0.047 -3.025
Pm 0.509 -8.715 -1.653
Pm -1.833 -2.581 -1.539
CELL_PARAMETERS angstrom
-3.029 0.391 -2.996
2.982 -0.297 -3.054
-1.300 -11.343 -0.167

7.
! SrPmAu10, optimized geometry, DFT PBE; values from VASP
! **Space group**: No. 47
! **Energy**: -3.684 eV/atom
! **ΔH_f (0 K)**: -0.417 eV per atom
&SYSTEM
  ibrav = 0, nat = 12, ntyp = 3
/
ATOMIC_SPECIES
Au 196.97 Au.upf
Sr 87.62 Sr.upf
Pm 145.00 Pm.upf
ATOMIC_POSITIONS angstrom
Au 2.366 1.389 2.413
Au 2.366 2.800 0.000
Au 0.000 2.800 1.575
Au 2.366 0.000 4.895
Au 2.366 4.212 7.377
Au 2.366 4.212 2.413
Au 0.000 0.000 6.584
Au 0.000 2.800 8.215
Sr 0.000 2.800 4.895
Au 2.366 1.389 7.377
Pm 0.000 0.000 0.000
Au 0.000 0.000 3.206
CELL_PARAMETERS angstrom
4.733 0.000 0.000
0.000 5.600 0.000
0.000 0.000 9.791

8.
! SrPm2Au, optimized geometry, DFT PBE; values from VASP
! **Space group**: No. 166
! **Energy**: -3.833 eV/atom
! **ΔH_f (0 K)**: -0.218 eV per atom
! **ΔE to the lowest computed polymorph**: 61 meV per atom
&SYSTEM
  ibrav = 0, nat = 4, ntyp = 3
/
ATOMIC_SPECIES
Pm 145.00 Pm.upf
Sr 87.62 Sr.upf
Au 196.97 Au.upf
ATOMIC_POSITIONS angstrom
Pm -2.596 -1.456 0.346
Pm -9.456 -4.655 3.473
Sr -6.026 -3.055 1.909
Au 0.000 0.000 0.000
CELL_PARAMETERS angstrom
-3.310 -0.235 -2.295
-1.296 -3.589 -1.310
-7.445 -2.287 7.424

9.
! SrPm2Au, optimized geometry, DFT PBE; values from VASP
! **Space group**: No. 160
! **Energy**: -3.837 eV/atom
! **ΔH_f (0 K)**: -0.222 eV per atom
! **ΔE to the lowest computed polymorph**: 57 meV per atom
&SYSTEM
  ibrav = 0, nat = 4, ntyp = 3
/
ATOMIC_SPECIES
Pm 145.00 Pm.upf
Au 196.97 Au.upf
Sr 87.62 Sr.upf
ATOMIC_POSITIONS angstrom
Pm 2.041 1.178 1.843
Pm 2.041 1.178 8.535
Au 4.082 2.357 0.019
Sr 4.082 2.357 5.142
CELL_PARAMETERS angstrom
4.082 0.000 0.000
2.041 3.535 0.000
2.041 1.178 10.359

10.
! SrPmAu3, optimized geometry, DFT PBE; values from VASP
! **Space group**: No. 63
! **Energy**: -4.032 eV/atom
! **ΔH_f (0 K)**: -0.779 eV per atom
&SYSTEM
  ibrav = 0, nat = 10, ntyp = 3
/
ATOMIC_SPECIES
Au 196.97 Au.upf
Sr 87.62 Sr.upf
Pm 145.00 Pm.upf
ATOMIC_POSITIONS angstrom
Au -13.491 -1.270 1.500
Au -5.639 1.529 0.172
Sr -12.817 1.085 -0.759
Au -9.471 -0.528 -1.655
Sr -2.292 -0.084 -0.723
Au -4.326 1.984 -2.445
Au -1.619 2.270 -2.983
Pm -8.665 1.208 0.773
Pm -6.445 -0.207 -2.256
Au -10.783 -0.983 0.963
CELL_PARAMETERS angstrom
-0.309 3.902 0.524
-0.955 0.532 -4.524
-13.846 -3.433 2.518

11.
! SrPm2Au, optimized geometry, DFT PBE; values from VASP
! **Space group**: No. 123
! **Energy**: -3.895 eV/atom
! **ΔH_f (0 K)**: -0.279 eV per atom
! **ΔE to the lowest computed polymorph**: 0 meV per atom
&SYSTEM
  ibrav = 0, nat = 4, ntyp = 3
/
ATOMIC_SPECIES
Pm 145.00 Pm.upf
Au 196.97 Au.upf
Sr 87.62 Sr.upf
ATOMIC_POSITIONS angstrom
Pm 0.000 0.000 1.706
Pm 0.000 0.000 8.076
Au 1.883 1.883 0.000
Sr 1.883 1.883 4.891
CELL_PARAMETERS angstrom
3.766 0.000 0.000
0.000 3.766 0.000
0.000 0.000 9.782

12.
! Sr2PmAu6, optimized geometry, DFT PBE; values from VASP
! **Space group**: No. 191
! **Energy**: -3.811 eV/atom
! **ΔH_f (0 K)**: -0.725 eV per atom
&SYSTEM
  ibrav = 0, nat = 9, ntyp = 3
/
ATOMIC_SPECIES
Sr 87.62 Sr.upf
Au 196.97 Au.upf
Pm 145.00 Pm.upf
ATOMIC_POSITIONS angstrom
Sr 1.803 0.679 4.406
Au -2.695 1.772 0.830
Au 1.260 2.827 6.922
Au -0.525 2.146 2.492
Au 2.023 2.221 1.437
Pm 6.552 1.130 5.017
Sr -3.239 3.920 3.346
Au -0.910 2.452 5.260
Au 4.235 2.603 3.131
CELL_PARAMETERS angstrom
-0.294 3.693 -0.449
-7.693 -0.225 3.184
6.552 1.130 5.017